Entry from Alexandria via LeMat-Bulk: an optimized crystal structure of Tb2Nd2I7 (PBE-GGA).

Calculated values
The raw total energy comes out at -40.49 eV/f.u. As for the space group: No. 12. As for the size of the total moment: 0.77 μB/f.u. The uncorrected formation energy is -0.986 eV per atom.

Unit cell a=8.223 b=8.143 c=8.143 alpha=111.08 beta=88.76 gamma=88.76
Fractional coordinates of all 11 atoms:
Tb  0.838  0.300  0.300
Tb  0.162  0.700  0.700
Nd  0.500  0.364  0.636
Nd  0.500  0.636  0.364
I  0.283  0.989  0.589
I  0.717  0.411  0.011
I  0.717  0.011  0.411
I  0.283  0.589  0.989
I  0.000  0.000  0.000
I  0.783  0.632  0.632
I  0.217  0.368  0.368